## A
The following is a PBE calculation of a relaxed structure of ThTiAg, from Alexandria via LeMat-Bulk.

a = 4.6035 Å, b = 4.6035 Å, c = 3.9650 Å
α = 90.00°, β = 90.00°, γ = 120.00°
Space group P-6m2 (No. 187)
Inequivalent atoms, fractional coordinates:
Th: 0.0000 0.0000 0.0000 (multiplicity 1)
Ti: 0.6667 0.3333 0.5000 (multiplicity 1)
Ag: 0.3333 0.6667 0.5000 (multiplicity 1)

Output
magnetic moment = 0.0 μB per formula unit
N(E_F) = 4.61 states/eV/cell
V = 72.8 Å³ per cell

---

## B
The following is a PBE calculation of a relaxed structure of ThTiAg, from Alexandria via LeMat-Bulk.

a = 3.3327 Å, b = 4.8469 Å, c = 8.6781 Å
α = 90.00°, β = 90.07°, γ = 90.00°
Space group P2_1/m (No. 11)
Inequivalent atoms, fractional coordinates:
Th: 0.0005 0.2500 0.2547 (multiplicity 2)
Ti: 0.5003 0.2500 0.9390 (multiplicity 2)
Ag: 0.4999 0.2500 0.5908 (multiplicity 2)

Output
magnetic moment = 0.0 μB per formula unit
N(E_F) = 6.52 states/eV/cell
V = 140.2 Å³ per cell

---

In terms of stability, B leads; the second structure lies 183 meV/atom higher.

---

## A
The following is a PBE calculation of a relaxed structure of Th2TlAg3, from Alexandria via LeMat-Bulk.

a = 3.4405 Å, b = 4.9481 Å, c = 17.8493 Å
α = 90.00°, β = 90.00°, γ = 90.00°
Space group Imm2 (No. 44)
Inequivalent atoms, fractional coordinates:
Th: 0.0000 0.0000 0.0000 (multiplicity 2)
Th: 0.0000 0.5000 0.2684 (multiplicity 2)
Tl: 0.0000 0.0000 0.5989 (multiplicity 2)
Ag: 0.0000 0.0000 0.4399 (multiplicity 2)
Ag: 0.0000 0.5000 0.6725 (multiplicity 2)
Ag: 0.0000 0.5000 0.8250 (multiplicity 2)

Output
magnetic moment = 0.0 μB per formula unit
N(E_F) = 10.52 states/eV/cell
V = 303.9 Å³ per cell

---

## B
The following is a PBE calculation of a relaxed structure of Th2TlAg3, from Alexandria via LeMat-Bulk.

a = 6.6655 Å, b = 10.0265 Å, c = 17.3457 Å
α = 90.00°, β = 90.00°, γ = 90.00°
Space group Fmmm (No. 69)
Inequivalent atoms, fractional coordinates:
Th: 0.2433 0.0000 0.0000 (multiplicity 8)
Th: 0.2500 0.2500 0.2500 (multiplicity 8)
Tl: 0.0000 0.0000 0.3338 (multiplicity 8)
Ag: 0.0000 0.0000 0.1646 (multiplicity 8)
Ag: 0.0000 0.2468 0.0821 (multiplicity 16)

Output
magnetic moment = 0.0 μB per formula unit
N(E_F) = 26.24 states/eV/cell
V = 1159.2 Å³ per cell

---

In terms of stability, B leads; the second structure lies 157 meV/atom higher.

---

## A
The following is a PBE calculation of a relaxed structure of TmThAg2, from Alexandria via LeMat-Bulk.

a = 3.5433 Å, b = 3.5433 Å, c = 7.8049 Å
α = 90.00°, β = 90.00°, γ = 90.00°
Space group P4/mmm (No. 123)
Inequivalent atoms, fractional coordinates:
Tm: 0.0000 0.0000 0.0000 (multiplicity 1)
Th: 0.0000 0.0000 0.5000 (multiplicity 1)
Ag: 0.5000 0.5000 0.2236 (multiplicity 2)

Output
magnetic moment = 0.0 μB per formula unit
N(E_F) = 3.78 states/eV/cell
V = 98.0 Å³ per cell

---

## B
The following is a PBE calculation of a relaxed structure of TmThAg2, from Alexandria via LeMat-Bulk.

a = 7.3648 Å, b = 7.3648 Å, c = 7.3648 Å
α = 90.00°, β = 90.00°, γ = 90.00°
Space group Fm-3m (No. 225)
Inequivalent atoms, fractional coordinates:
Tm: 0.0000 0.0000 0.0000 (multiplicity 4)
Th: 0.0000 0.0000 0.5000 (multiplicity 4)
Ag: 0.2500 0.2500 0.2500 (multiplicity 8)

Output
magnetic moment = 0.0 μB per formula unit
N(E_F) = 19.24 states/eV/cell
V = 399.5 Å³ per cell

---

In terms of stability, A leads; the second structure lies 43 meV/atom higher.

---

## A
The following is a PBE calculation of a relaxed structure of Tm2ThAg, from Alexandria via LeMat-Bulk.

a = 5.5145 Å, b = 5.5145 Å, c = 3.5582 Å
α = 90.00°, β = 90.00°, γ = 90.00°
Space group P4/mmm (No. 123)
Inequivalent atoms, fractional coordinates:
Tm: 0.0000 0.5000 0.0000 (multiplicity 2)
Th: 0.0000 0.0000 0.5000 (multiplicity 1)
Ag: 0.5000 0.5000 0.5000 (multiplicity 1)

Output
magnetic moment = 0.0 μB per formula unit
N(E_F) = 5.82 states/eV/cell
V = 108.2 Å³ per cell

---

## B
The following is a PBE calculation of a relaxed structure of Tm2ThAg, from Alexandria via LeMat-Bulk.

a = 3.5192 Å, b = 3.5192 Å, c = 31.3507 Å
α = 90.00°, β = 90.00°, γ = 120.00°
Space group R3m (No. 160, hexagonal axes)
Inequivalent atoms, fractional coordinates:
Tm: 0.0000 0.0000 0.0000 (multiplicity 3)
Tm: 0.0000 0.0000 0.1861 (multiplicity 3)
Th: 0.0000 0.0000 0.7594 (multiplicity 3)
Ag: 0.0000 0.0000 0.5932 (multiplicity 3)

Output
magnetic moment = 0.0 μB per formula unit
N(E_F) = 18.37 states/eV/cell
V = 336.3 Å³ per cell

---

In terms of stability, B leads; the second structure lies 38 meV/atom higher.

---

## A
The following is a PBE calculation of a relaxed structure of Th2UAg, from Alexandria via LeMat-Bulk.

a = 3.7925 Å, b = 3.7925 Å, c = 7.3910 Å
α = 90.00°, β = 90.00°, γ = 90.00°
Space group P4/mmm (No. 123)
Inequivalent atoms, fractional coordinates:
Th: 0.0000 0.0000 0.2476 (multiplicity 2)
U: 0.5000 0.5000 0.0000 (multiplicity 1)
Ag: 0.5000 0.5000 0.5000 (multiplicity 1)

Output
magnetic moment = 2.7 μB per formula unit
N(E_F) = 7.36 states/eV/cell
V = 106.3 Å³ per cell

---

## B
The following is a PBE calculation of a relaxed structure of Th2UAg, from Alexandria via LeMat-Bulk.

a = 5.5831 Å, b = 5.5831 Å, c = 3.2848 Å
α = 90.00°, β = 90.00°, γ = 90.00°
Space group P4/mmm (No. 123)
Inequivalent atoms, fractional coordinates:
Th: 0.0000 0.5000 0.0000 (multiplicity 2)
U: 0.0000 0.0000 0.5000 (multiplicity 1)
Ag: 0.5000 0.5000 0.5000 (multiplicity 1)

Output
magnetic moment = 0.0 μB per formula unit
N(E_F) = 7.61 states/eV/cell
V = 102.4 Å³ per cell

---

In terms of stability, B leads; the second structure lies 124 meV/atom higher.

---

## A
The following is a PBE calculation of a relaxed structure of Th2VAg, from Alexandria via LeMat-Bulk.

a = 3.5484 Å, b = 3.5484 Å, c = 8.0455 Å
α = 90.00°, β = 90.00°, γ = 90.00°
Space group P4/mmm (No. 123)
Inequivalent atoms, fractional coordinates:
Th: 0.0000 0.0000 0.2325 (multiplicity 2)
V: 0.5000 0.5000 0.0000 (multiplicity 1)
Ag: 0.5000 0.5000 0.5000 (multiplicity 1)

Output
magnetic moment = 2.0 μB per formula unit
N(E_F) = 3.94 states/eV/cell
V = 101.3 Å³ per cell

---

## B
The following is a PBE calculation of a relaxed structure of Th2VAg, from Alexandria via LeMat-Bulk.

a = 3.2786 Å, b = 3.2786 Å, c = 32.6506 Å
α = 90.00°, β = 90.00°, γ = 120.00°
Space group R-3m (No. 166, hexagonal axes)
Inequivalent atoms, fractional coordinates:
Th: 0.0000 0.0000 0.0834 (multiplicity 6)
V: 0.0000 0.0000 0.0000 (multiplicity 3)
Ag: 0.0000 0.0000 0.5000 (multiplicity 3)

Output
magnetic moment = 2.1 μB per formula unit
N(E_F) = 16.20 states/eV/cell
V = 303.9 Å³ per cell

---

In terms of stability, A leads; the second structure lies 468 meV/atom higher.

---

## A
The following is a PBE calculation of a relaxed structure of YThAg, from Alexandria via LeMat-Bulk.

a = 3.5918 Å, b = 16.9461 Å, c = 5.4562 Å
α = 90.00°, β = 90.00°, γ = 90.00°
Space group Cmcm (No. 63)
Inequivalent atoms, fractional coordinates:
Y: 0.0000 0.0833 0.2500 (multiplicity 4)
Th: 0.0000 0.2251 0.7500 (multiplicity 4)
Ag: 0.0000 0.4351 0.2500 (multiplicity 4)

Output
magnetic moment = 0.0 μB per formula unit
N(E_F) = 13.58 states/eV/cell
V = 332.1 Å³ per cell

---

## B
The following is a PBE calculation of a relaxed structure of YThAg, from Alexandria via LeMat-Bulk.

a = 5.1508 Å, b = 5.1508 Å, c = 3.6702 Å
α = 90.00°, β = 90.00°, γ = 120.00°
Space group P3m1 (No. 156)
Inequivalent atoms, fractional coordinates:
Y: 0.0000 0.0000 0.0000 (multiplicity 1)
Th: 0.3333 0.6667 0.4652 (multiplicity 1)
Ag: 0.6667 0.3333 0.8451 (multiplicity 1)

Output
magnetic moment = 0.0 μB per formula unit
N(E_F) = 4.82 states/eV/cell
V = 84.3 Å³ per cell

---

In terms of stability, A leads; the second structure lies 233 meV/atom higher.

---

## A
The following is a PBE calculation of a relaxed structure of Y2ThAg, from Alexandria via LeMat-Bulk.

a = 3.5765 Å, b = 3.5765 Å, c = 31.6248 Å
α = 90.00°, β = 90.00°, γ = 120.00°
Space group R3m (No. 160, hexagonal axes)
Inequivalent atoms, fractional coordinates:
Y: 0.0000 0.0000 0.0000 (multiplicity 3)
Y: 0.0000 0.0000 0.1860 (multiplicity 3)
Th: 0.0000 0.0000 0.4267 (multiplicity 3)
Ag: 0.0000 0.0000 0.5928 (multiplicity 3)

Output
magnetic moment = 0.0 μB per formula unit
N(E_F) = 18.59 states/eV/cell
V = 350.3 Å³ per cell

---

## B
The following is a PBE calculation of a relaxed structure of Y2ThAg, from Alexandria via LeMat-Bulk.

a = 3.6352 Å, b = 3.6352 Å, c = 8.4663 Å
α = 90.00°, β = 90.00°, γ = 90.00°
Space group P4/mmm (No. 123)
Inequivalent atoms, fractional coordinates:
Y: 0.0000 0.0000 0.2167 (multiplicity 2)
Th: 0.5000 0.5000 0.5000 (multiplicity 1)
Ag: 0.5000 0.5000 0.0000 (multiplicity 1)

Output
magnetic moment = 0.0 μB per formula unit
N(E_F) = 5.03 states/eV/cell
V = 111.9 Å³ per cell

---

In terms of stability, B leads; the second structure lies 166 meV/atom higher.

---

## A
The following is a PBE calculation of a relaxed structure of Y2ThAg, from Alexandria via LeMat-Bulk.

a = 3.5944 Å, b = 3.5944 Å, c = 31.1129 Å
α = 90.00°, β = 90.00°, γ = 120.00°
Space group R-3m (No. 166, hexagonal axes)
Inequivalent atoms, fractional coordinates:
Y: 0.0000 0.0000 0.2418 (multiplicity 6)
Th: 0.0000 0.0000 0.0000 (multiplicity 3)
Ag: 0.0000 0.0000 0.5000 (multiplicity 3)

Output
magnetic moment = 0.0 μB per formula unit
N(E_F) = 16.83 states/eV/cell
V = 348.1 Å³ per cell

---

## B
The following is a PBE calculation of a relaxed structure of Y2ThAg, from Alexandria via LeMat-Bulk.

a = 5.5884 Å, b = 5.5884 Å, c = 3.6008 Å
α = 90.00°, β = 90.00°, γ = 90.00°
Space group P4/mmm (No. 123)
Inequivalent atoms, fractional coordinates:
Y: 0.0000 0.5000 0.0000 (multiplicity 2)
Th: 0.0000 0.0000 0.5000 (multiplicity 1)
Ag: 0.5000 0.5000 0.5000 (multiplicity 1)

Output
magnetic moment = 0.0 μB per formula unit
N(E_F) = 6.04 states/eV/cell
V = 112.5 Å³ per cell

---

In terms of stability, A leads; the second structure lies 59 meV/atom higher.

---

## A
The following is a PBE calculation of a relaxed structure of Th2Zn2Ag3, from Alexandria via LeMat-Bulk.

a = 4.4308 Å, b = 20.4370 Å, c = 3.4209 Å
α = 90.00°, β = 90.00°, γ = 90.00°
Space group Cmmm (No. 65)
Inequivalent atoms, fractional coordinates:
Th: 0.0000 0.1556 0.0000 (multiplicity 4)
Zn: 0.0000 0.2834 0.5000 (multiplicity 4)
Ag: 0.0000 0.0000 0.0000 (multiplicity 2)
Ag: 0.0000 0.4315 0.5000 (multiplicity 4)

Output
magnetic moment = 0.0 μB per formula unit
N(E_F) = 11.20 states/eV/cell
V = 309.8 Å³ per cell

---

## B
The following is a PBE calculation of a relaxed structure of Th2Zn2Ag3, from Alexandria via LeMat-Bulk.

a = 4.3823 Å, b = 19.7661 Å, c = 7.2215 Å
α = 90.00°, β = 90.00°, γ = 90.00°
Space group Cmcm (No. 63)
Inequivalent atoms, fractional coordinates:
Th: 0.0000 0.0574 0.2500 (multiplicity 4)
Th: 0.0000 0.1608 0.7500 (multiplicity 4)
Zn: 0.0000 0.3085 0.5586 (multiplicity 8)
Ag: 0.0000 0.2221 0.2500 (multiplicity 4)
Ag: 0.0000 0.4356 0.0600 (multiplicity 8)

Output
magnetic moment = 0.0 μB per formula unit
N(E_F) = 23.16 states/eV/cell
V = 625.5 Å³ per cell

---

In terms of stability, B leads; the second structure lies 19 meV/atom higher.

---

## A
The following is a PBE calculation of a relaxed structure of ThZnAg3, from Alexandria via LeMat-Bulk.

a = 4.7343 Å, b = 26.7527 Å, c = 3.3822 Å
α = 90.00°, β = 90.00°, γ = 90.00°
Space group Cmmm (No. 65)
Inequivalent atoms, fractional coordinates:
Th: 0.0000 0.1684 0.0000 (multiplicity 4)
Zn: 0.0000 0.3774 0.5000 (multiplicity 4)
Ag: 0.0000 0.0576 0.5000 (multiplicity 4)
Ag: 0.0000 0.2769 0.5000 (multiplicity 4)
Ag: 0.0000 0.4499 0.0000 (multiplicity 4)

Output
magnetic moment = 0.0 μB per formula unit
N(E_F) = 12.47 states/eV/cell
V = 428.4 Å³ per cell

---

## B
The following is a PBE calculation of a relaxed structure of ThZnAg3, from Alexandria via LeMat-Bulk.

a = 8.0892 Å, b = 6.5715 Å, c = 4.9699 Å
α = 90.00°, β = 127.72°, γ = 90.00°
Space group Cm (No. 8)
Inequivalent atoms, fractional coordinates:
Th: 0.0000 0.0000 0.0000 (multiplicity 2)
Zn: 0.2987 0.0000 0.7972 (multiplicity 2)
Ag: 0.0071 0.2964 0.5074 (multiplicity 4)
Ag: 0.1905 0.5000 0.1913 (multiplicity 2)

Output
magnetic moment = 0.0 μB per formula unit
N(E_F) = 6.86 states/eV/cell
V = 209.0 Å³ per cell

---

In terms of stability, B leads; the second structure lies 73 meV/atom higher.

---

## A
The following is a PBE calculation of a relaxed structure of Ti2TlAg2, from Alexandria via LeMat-Bulk.

a = 7.6887 Å, b = 7.6887 Å, c = 3.2219 Å
α = 90.00°, β = 90.00°, γ = 90.00°
Space group P4/mbm (No. 127)
Inequivalent atoms, fractional coordinates:
Ti: 0.1682 0.3318 0.0000 (multiplicity 4)
Tl: 0.0000 0.0000 0.5000 (multiplicity 2)
Ag: 0.1272 0.6272 0.5000 (multiplicity 4)

Output
magnetic moment = 1.0 μB per formula unit
N(E_F) = 5.80 states/eV/cell
V = 190.5 Å³ per cell

---

## B
The following is a PBE calculation of a relaxed structure of Ti2TlAg2, from Alexandria via LeMat-Bulk.

a = 8.0285 Å, b = 8.0285 Å, c = 3.0498 Å
α = 90.00°, β = 90.00°, γ = 90.00°
Space group P4/mbm (No. 127)
Inequivalent atoms, fractional coordinates:
Ti: 0.1635 0.3365 0.0000 (multiplicity 4)
Tl: 0.0000 0.0000 0.0000 (multiplicity 2)
Ag: 0.1298 0.6298 0.5000 (multiplicity 4)

Output
magnetic moment = 0.0 μB per formula unit
N(E_F) = 7.15 states/eV/cell
V = 196.6 Å³ per cell

---

In terms of stability, A leads; the second structure lies 93 meV/atom higher.

---

## A
The following is a PBE calculation of a relaxed structure of TiTl2Ag, from Alexandria via LeMat-Bulk.

a = 7.0213 Å, b = 7.0213 Å, c = 7.0213 Å
α = 90.00°, β = 90.00°, γ = 90.00°
Space group Fm-3m (No. 225)
Inequivalent atoms, fractional coordinates:
Ti: 0.0000 0.0000 0.0000 (multiplicity 4)
Tl: 0.2500 0.2500 0.2500 (multiplicity 8)
Ag: 0.0000 0.0000 0.5000 (multiplicity 4)

Output
magnetic moment = 1.0 μB per formula unit
N(E_F) = 17.57 states/eV/cell
V = 346.1 Å³ per cell

---

## B
The following is a PBE calculation of a relaxed structure of TiTl2Ag, from Alexandria via LeMat-Bulk.

a = 7.7246 Å, b = 7.7246 Å, c = 6.2460 Å
α = 90.00°, β = 90.00°, γ = 90.00°
Space group I-42d (No. 122)
Inequivalent atoms, fractional coordinates:
Ti: 0.0000 0.0000 0.0000 (multiplicity 4)
Tl: 0.2465 0.7500 0.6250 (multiplicity 8)
Ag: 0.0000 0.0000 0.5000 (multiplicity 4)

Output
magnetic moment = 0.9 μB per formula unit
N(E_F) = 12.18 states/eV/cell
V = 372.7 Å³ per cell

---

## C
The following is a PBE calculation of a relaxed structure of TiTl2Ag, from Alexandria via LeMat-Bulk.

a = 4.5264 Å, b = 4.5264 Å, c = 4.1083 Å
α = 90.00°, β = 90.00°, γ = 90.00°
Space group P4/mmm (No. 123)
Inequivalent atoms, fractional coordinates:
Ti: 0.0000 0.0000 0.0000 (multiplicity 1)
Tl: 0.0000 0.5000 0.5000 (multiplicity 2)
Ag: 0.5000 0.5000 0.0000 (multiplicity 1)

Output
magnetic moment = 0.0 μB per formula unit
N(E_F) = 3.30 states/eV/cell
V = 84.2 Å³ per cell

---

In terms of stability, C leads; the second structure lies 120 meV/atom higher.